Below is crystalline Ac2TlFeO5 at its relaxed geometry, with properties calculated at the GGA+U level.

Cell: 5.8304 7.2375 7.2375 Å, 90.00 90.00 90.00°
Fractional coordinates of all 18 atoms:
O 0.2370 0.1245 0.6245
O 0.7630 0.8755 0.3755
O 0.5000 0.0000 0.0000
O 0.7630 0.6245 0.8755
O 0.2370 0.8755 0.3755
O 0.7630 0.1245 0.6245
O 0.7630 0.3755 0.1245
O 0.2370 0.6245 0.8755
O 0.2370 0.3755 0.1245
O 0.5000 0.5000 0.5000
Ac 0.5000 0.1825 0.3175
Ac 0.5000 0.6825 0.1825
Ac 0.5000 0.8175 0.6825
Ac 0.5000 0.3175 0.8175
Fe 0.0000 0.5000 0.0000
Fe 0.0000 0.0000 0.5000
Tl 0.0000 0.0000 0.0000
Tl 0.0000 0.5000 0.5000

Results
energy: -122.674 eV per cell
total moment: 0.335 μB/atom
space group: P4/mbm (127)